(1)
Computed, not measured: Fe3Mo6RhN2 after structural relaxation at the PBE level of DFT.

Properties
As for the volume: 12.791 Å³ per atom. For the magnetization, the calculation gives 6.46 μB per formula unit. Its mass density is 9.46 g/cm3. The uncorrected formation energy is -194 meV/atom.

a = 6.746 Å, b = 6.739 Å, c = 6.753 Å
α = 90.00°, β = 90.45°, γ = 90.00°
Space group P2_1 (No. 4)
Unique sites:
Fe1 0.065 0.000 0.325 x2
Fe2 0.181 0.249 0.567 x2
Fe3 0.424 0.140 0.811 x2
Mo1 0.048 0.194 0.951 x2
Mo2 0.119 0.862 0.701 x2
Mo3 0.205 0.617 0.377 x2
Mo4 0.294 0.518 0.871 x2
Mo5 0.372 0.272 0.201 x2
Mo6 0.451 0.946 0.458 x2
Rh1 0.316 0.885 0.067 x2
N1 0.126 0.446 0.122 x2
N2 0.375 0.696 0.628 x2

---

(2)
Computed, not measured: Cd2Bi2O5 after structural relaxation at the PBE level of DFT.

Properties
As for the volume: 17.358 Å³ per atom. For the magnetization, the calculation gives 0.00 μB per formula unit. Its mass density is 7.68 g/cm3. The uncorrected formation energy is -1075 meV/atom.

a = 15.181 Å, b = 3.576 Å, c = 5.775 Å
α = 90.00°, β = 94.75°, γ = 90.00°
Space group C2/m (No. 12)
Unique sites:
Cd1 0.188 0.000 0.292 x4
Bi1 0.071 0.500 0.752 x4
O1 0.000 0.000 0.500 x2
O2 0.143 0.000 0.931 x4
O3 0.172 0.500 0.518 x4

---

(3)
Computed, not measured: Ac4La11Y9 after structural relaxation at the PBE level of DFT.

Properties
As for the formation energy: 0.067 eV per atom. As for the volume: 36.592 Å³ per atom. For the magnetization, the calculation gives 0.00 μB per formula unit. Its mass density is 6.12 g/cm3.

a = 21.216 Å, b = 22.291 Å, c = 3.714 Å
α = 90.00°, β = 90.00°, γ = 90.00°
Space group Cmmm (No. 65)
Unique sites:
Ac1 0.137 0.085 0.000 x8
La1 0.000 0.160 0.500 x4
La2 0.000 0.330 0.500 x4
La3 0.000 0.500 0.500 x2
La4 0.235 0.500 0.500 x4
La5 0.243 0.331 0.500 x8
Y1 0.000 0.000 0.000 x2
Y2 0.118 0.413 0.000 x8
Y3 0.123 0.248 0.000 x8

---

(4)
Computed, not measured: Ac2PaCuS5 after structural relaxation at the PBE level of DFT.

Properties
As for the volume: 23.618 Å³ per atom. For the magnetization, the calculation gives 1.22 μB per formula unit. Its mass density is 7.10 g/cm3. The uncorrected formation energy is -1692 meV/atom.

a = 4.012 Å, b = 16.937 Å, c = 12.511 Å
α = 90.00°, β = 90.00°, γ = 90.00°
Space group Cmc2_1 (No. 36)
Unique sites:
Ac1 0.000 0.119 0.000 x4
Ac2 0.000 0.121 0.644 x4
Pa1 0.000 0.181 0.327 x4
Cu1 0.000 0.448 0.725 x4
S1 0.000 0.023 0.314 x4
S2 0.000 0.304 0.981 x4
S3 0.000 0.313 0.672 x4
S4 0.000 0.343 0.323 x4
S5 0.000 0.495 0.059 x4

---

(5)
Computed, not measured: NaTb4Se5 after structural relaxation at the PBE level of DFT.

Properties
As for the volume: 24.615 Å³ per atom. The value obtained for the polymorph energy (0 for the lowest one) is 0.000 eV/atom. For the magnetization, the calculation gives 0.00 μB per formula unit. Its mass density is 7.11 g/cm3. The uncorrected formation energy is -1754 meV/atom.

a = 4.120 Å, b = 5.787 Å, c = 20.651 Å
α = 90.00°, β = 90.00°, γ = 90.00°
Space group Immm (No. 71)
Unique sites:
Na1 0.000 0.000 0.000 x2
Tb1 0.000 0.000 0.204 x4
Tb2 0.000 0.000 0.399 x4
Se1 0.000 0.500 0.000 x2
Se2 0.000 0.500 0.198 x4
Se3 0.000 0.500 0.397 x4

---

(6)
Computed, not measured: NaInSn after structural relaxation at the PBE level of DFT.

Properties
As for the formation energy: -0.124 eV per atom. As for the volume: 29.179 Å³ per atom. For the magnetization, the calculation gives 0.00 μB per formula unit. Its mass density is 4.87 g/cm3.

a = 4.9338 Å, b = 4.9338 Å, c = 24.9146 Å
α = 90.00°, β = 90.00°, γ = 120.00°
Space group R-3m (No. 166, hexagonal axes)
Unique sites:
Na1 0.0000 0.0000 0.0684 x6
In1 0.0000 0.0000 0.3196 x6
Sn1 0.0000 0.0000 0.1924 x6

---

(7)
Computed, not measured: Mg8Tl3In2 after structural relaxation at the PBE level of DFT.

Properties
As for the formation energy: 0.079 eV per atom. As for the volume: 27.758 Å³ per atom. The value obtained for the polymorph energy (0 for the lowest one) is 0.081 eV/atom. For the magnetization, the calculation gives 0.00 μB per formula unit. Its mass density is 4.77 g/cm3.

a = 15.762 Å, b = 8.466 Å, c = 5.543 Å
α = 90.00°, β = 102.64°, γ = 90.00°
Space group C2/m (No. 12)
Unique sites:
Mg1 0.126 0.000 0.480 x4
Mg2 0.153 0.192 0.984 x8
Mg3 0.166 0.500 0.652 x4
Tl1 0.000 0.000 0.000 x2
Tl2 0.000 0.291 0.500 x4
In1 0.206 0.500 0.183 x4

---

(8)
Computed, not measured: TlCoPd2Au after structural relaxation at the PBE level of DFT.

Properties
As for the formation energy: 1.232 eV per atom. As for the volume: 24.140 Å³ per atom. For the magnetization, the calculation gives 1.32 μB per formula unit. Its mass density is 9.26 g/cm3.

a = 5.016 Å, b = 5.016 Å, c = 4.798 Å
α = 90.00°, β = 90.00°, γ = 90.00°
Space group P4/mmm (No. 123)
Unique sites:
Tl1 0.000 0.000 0.000 x1
Co1 0.000 0.000 0.500 x1
Pd1 0.000 0.500 0.000 x2
Au1 0.500 0.500 0.500 x1

---

(9)
Computed, not measured: Pr4Dy5Ag after structural relaxation at the PBE level of DFT.

Properties
As for the formation energy: -0.043 eV per atom. As for the volume: 31.895 Å³ per atom. For the magnetization, the calculation gives 0.00 μB per formula unit. Its mass density is 7.73 g/cm3.

a = 3.632 Å, b = 3.632 Å, c = 24.178 Å
α = 90.00°, β = 90.00°, γ = 90.00°
Space group P4/mmm (No. 123)
Unique sites:
Pr1 0.000 0.000 0.106 x2
Pr2 0.000 0.000 0.317 x2
Dy1 0.500 0.500 0.000 x1
Dy2 0.500 0.500 0.212 x2
Dy3 0.500 0.500 0.424 x2
Ag1 0.000 0.000 0.500 x1

---

(10)
Computed, not measured: Li3Ni2Rh after structural relaxation at the PBE level of DFT.

Properties
As for the formation energy: -0.087 eV per atom. As for the volume: 12.181 Å³ per atom. For the magnetization, the calculation gives 0.24 μB per formula unit. Its mass density is 5.48 g/cm3.

a = 5.955 Å, b = 6.050 Å, c = 16.230 Å
α = 90.00°, β = 90.00°, γ = 90.00°
Space group Fddd (No. 70, origin choice 2)
Unique sites:
Li1 0.125 0.125 0.125 x8
Li2 0.125 0.125 0.294 x16
Ni1 0.125 0.125 0.464 x16
Rh1 0.125 0.125 0.625 x8